No. 1
{
  "formula": "BeAs7",
  "functional": "GGA-PBEsol",
  "state": "relaxed",
  "crystal_system": "cubic",
  "spacegroup": "Fm-3m (225)",
  "lattice": [[5.844, 0.000, 0.000], [2.922, 5.061, 0.000], [2.922, 1.687, 4.771]],
  "species": ["Be", "As", "As", "As", "As", "As", "As", "As"],
  "fractional_positions": [[0.000, 0.000, 0.000], [0.000, 0.000, 0.500], [0.000, 0.500, 0.000], [0.500, 0.000, 0.000], [0.500, 0.500, 0.000], [0.500, 0.000, 0.500], [0.000, 0.500, 0.500], [0.500, 0.500, 0.500]]
}

No. 2
{
  "formula": "Be2As",
  "functional": "GGA-PBEsol",
  "state": "relaxed",
  "crystal_system": "tetragonal",
  "spacegroup": "I4/mmm (139)",
  "lattice": [[3.276, 0.000, 0.000], [0.000, 3.276, 0.000], [-1.638, -1.638, 3.329]],
  "species": ["Be", "Be", "As"],
  "fractional_positions": [[0.659, 0.659, 0.317], [0.341, 0.341, 0.683], [0.000, 0.000, 0.000]]
}

No. 3
{
  "formula": "Be3As",
  "functional": "GGA-PBEsol",
  "state": "relaxed",
  "crystal_system": "tetragonal",
  "spacegroup": "P4mm (99)",
  "lattice": [[3.399, 0.000, 0.000], [0.000, 3.399, 0.000], [0.000, 0.000, 3.850]],
  "species": ["Be", "Be", "Be", "As"],
  "fractional_positions": [[0.500, 0.000, 0.424], [0.500, 0.500, 0.838], [0.000, 0.500, 0.424], [0.000, 0.000, 0.002]]
}

No. 4
{
  "formula": "BeAs2",
  "functional": "GGA-PBEsol",
  "state": "relaxed",
  "crystal_system": "hexagonal",
  "spacegroup": "P6_3/mmc (194)",
  "lattice": [[-1.057, -0.946, 3.211], [3.425, 0.081, -0.768], [0.451, 9.871, 3.056]],
  "species": ["Be", "Be", "As", "As", "As", "As"],
  "fractional_positions": [[0.000, 0.000, 0.750], [0.000, 0.000, 0.250], [0.333, 0.667, 0.635], [0.667, 0.333, 0.135], [0.667, 0.333, 0.365], [0.333, 0.667, 0.865]]
}

No. 5
{
  "formula": "Be3As2",
  "functional": "GGA-PBEsol",
  "state": "relaxed",
  "crystal_system": "trigonal",
  "spacegroup": "P-3m1 (164)",
  "lattice": [[-1.826, -0.894, -2.976], [-0.546, -1.819, 3.063], [-4.326, 3.831, 1.504]],
  "species": ["Be", "Be", "Be", "As", "As"],
  "fractional_positions": [[0.000, 0.000, 0.000], [0.333, 0.667, 0.391], [0.667, 0.333, 0.609], [0.333, 0.667, 0.769], [0.667, 0.333, 0.231]]
}

No. 6
{
  "formula": "BeAs",
  "functional": "GGA-PBEsol",
  "state": "relaxed",
  "crystal_system": "orthorhombic",
  "spacegroup": "Pmmn (59)",
  "lattice": [[-0.500, 1.271, 2.934], [1.862, -2.641, 1.461], [3.980, 2.567, -0.434]],
  "species": ["Be", "Be", "As", "As"],
  "fractional_positions": [[0.500, 0.815, 0.000], [0.000, 0.185, 0.500], [0.000, 0.313, 0.000], [0.500, 0.687, 0.500]]
}

| no. | E (eV per atom) | energy of formation from the pure elements (kJ/mol of atoms) | size of the total moment (Bohr magnetons per cell) |
| --- | --- | --- | --- |
| 1 | -4.425 | 52 | 0.00 |
| 2 | -3.963 | 39 | 0.00 |
| 3 | -3.890 | 37 | 0.00 |
| 4 | -4.640 | 9 | 0.00 |
| 5 | -4.410 | 3 | 0.00 |
| 6 | -4.375 | 17 | 0.00 |